VASP calculation (meta-GGA SCAN) on a crystal of AlCuMo2 relaxed with PBEsol.

Geometry as POSCAR:
```
AlCuMo2
1.0
2.733 0.000 0.000
-1.366 2.366 0.000
0.000 0.000 26.831
Al Cu Mo
3 3 6
Cartesian
0.000 0.000 0.000
0.000 1.578 17.887
1.366 0.789 8.944
0.000 0.000 19.952
0.000 1.578 11.009
1.366 0.789 2.065
0.000 0.000 6.682
0.000 0.000 13.230
0.000 1.578 4.286
0.000 1.578 24.569
1.366 0.789 15.626
1.366 0.789 22.173
```

- energy of formation from the pure elements (eV per atom) = 0.158

VASP calculation (meta-GGA SCAN) on a crystal of AlCuMo2 relaxed with PBEsol.

Geometry as POSCAR:
```
AlCuMo2
1.0
3.364 0.000 0.000
0.000 3.954 0.000
0.000 0.000 4.253
Al Cu Mo
1 1 2
Cartesian
0.000 0.000 0.000
1.682 1.977 0.000
0.000 1.977 2.127
1.682 0.000 2.127
```

- energy of formation from the pure elements (eV per atom) = -0.070

VASP calculation (meta-GGA SCAN) on a crystal of AlCuMo2 relaxed with PBEsol.

Geometry as POSCAR:
```
AlCuMo2
1.0
3.831 0.000 0.000
0.000 3.831 0.000
0.000 0.000 7.722
Al Cu Mo
2 2 4
Cartesian
0.000 0.000 0.000
1.916 1.916 3.861
0.000 1.916 1.931
1.916 0.000 5.792
0.000 0.000 3.861
0.000 1.916 5.792
1.916 0.000 1.931
1.916 1.916 0.000
```

- energy of formation from the pure elements (eV per atom) = 0.005

VASP calculation (meta-GGA SCAN) on a crystal of AlCuN2 relaxed with PBEsol.

Geometry as POSCAR:
```
AlCuN2
1.0
2.890 0.000 0.000
-1.445 2.503 0.000
0.000 0.000 17.191
Al Cu N
3 3 6
Cartesian
0.000 0.000 0.000
0.000 1.669 11.460
1.445 0.834 5.730
0.000 0.000 8.595
0.000 1.669 2.865
1.445 0.834 14.325
0.000 0.000 6.814
0.000 0.000 10.376
0.000 1.669 1.084
0.000 1.669 4.646
1.445 0.834 12.545
1.445 0.834 16.106
```

- raw formation energy (eV per atom) = 0.04

VASP calculation (meta-GGA SCAN) on a crystal of Na2AlCuN relaxed with PBEsol.

Geometry as POSCAR:
```
Na2AlCuN
1.0
4.912 0.000 0.000
0.000 4.912 0.000
0.000 0.000 3.612
Na Al Cu N
2 1 1 1
Cartesian
0.000 2.456 0.000
2.456 0.000 0.000
0.000 0.000 1.806
2.456 2.456 1.806
2.456 2.456 0.000
```

- raw formation energy (eV per atom) = 0.34

VASP calculation (meta-GGA SCAN) on a crystal of Nb2AlTlCu relaxed with PBEsol.

Geometry as POSCAR:
```
Nb2AlTlCu
1.0
4.736 0.000 0.000
0.000 4.736 0.000
0.000 0.000 4.321
Nb Al Tl Cu
2 1 1 1
Cartesian
0.000 2.368 0.000
2.368 0.000 0.000
0.000 0.000 2.161
2.368 2.368 2.161
0.000 0.000 0.000
```

- energy of formation from the pure elements (eV per atom) = 0.640

VASP calculation (meta-GGA SCAN) on a crystal of NdAl8Cu4 relaxed with PBEsol.

Geometry as POSCAR:
```
NdAl8Cu4
1.0
-4.380 4.380 2.561
4.380 -4.380 2.561
4.380 4.380 -2.561
Nd Al Cu
1 8 4
Cartesian
0.000 0.000 0.000
3.049 0.000 0.000
5.711 0.000 0.000
4.380 2.449 0.000
0.000 3.049 0.000
2.449 4.380 0.000
1.931 0.000 2.561
0.000 5.711 0.000
0.000 1.931 2.561
2.190 2.190 -1.280
2.190 -2.190 1.280
-2.190 2.190 1.280
2.190 2.190 1.280
```

- energy of formation from the pure elements (eV per atom) = -0.390

VASP calculation (meta-GGA SCAN) on a crystal of NdAlCu relaxed with PBEsol.

Geometry as POSCAR:
```
NdAlCu
1.0
7.058 0.000 0.000
-3.529 6.113 0.000
0.000 0.000 4.113
Nd Al Cu
3 3 3
Cartesian
-2.053 3.556 0.000
1.476 2.557 0.000
4.106 0.000 0.000
-0.816 1.414 2.056
1.633 0.000 2.056
2.713 4.699 2.056
0.000 0.000 0.000
0.000 4.075 2.056
3.529 2.038 2.056
```

- energy of formation from the pure elements (eV per atom) = -0.436

VASP calculation (meta-GGA SCAN) on a crystal of NdAl2Cu9 relaxed with PBEsol.

Geometry as POSCAR:
```
NdAl2Cu9
1.0
-4.987 4.987 3.282
4.987 -4.987 3.282
4.987 4.987 -3.282
Nd Al Cu
2 4 18
Cartesian
4.987 2.493 0.821
0.000 2.493 2.462
0.000 0.000 0.000
2.493 2.493 -1.641
2.493 -2.493 1.641
0.000 4.987 0.000
4.987 -2.493 2.462
3.760 -0.413 1.194
6.214 -0.413 1.194
2.081 1.266 0.447
7.893 1.266 0.447
3.760 4.574 -1.194
1.227 -0.413 2.088
2.081 3.721 0.447
2.906 -1.266 3.729
2.081 6.253 -0.447
2.906 1.266 2.835
3.760 5.399 1.194
1.227 0.413 4.476
-2.906 3.721 2.835
2.906 3.721 2.835
-1.227 5.399 2.088
1.227 5.399 2.088
0.000 7.480 0.821
```

- energy of formation from the pure elements (eV per atom) = -0.247

VASP calculation (meta-GGA SCAN) on a crystal of NdAl3Cu relaxed with PBEsol.

Geometry as POSCAR:
```
NdAl3Cu
1.0
4.189 0.000 0.000
0.000 4.189 0.000
0.000 0.000 10.559
Nd Al Cu
2 6 2
Cartesian
0.000 0.000 0.000
2.095 2.095 5.279
0.000 0.000 6.254
0.000 2.095 2.661
0.000 2.095 7.941
2.095 0.000 2.661
2.095 0.000 7.941
2.095 2.095 0.975
0.000 0.000 3.896
2.095 2.095 9.175
```

- energy of formation from the pure elements (eV per atom) = -0.544

VASP calculation (meta-GGA SCAN) on a crystal of NdAlCu4 relaxed with PBEsol.

Geometry as POSCAR:
```
NdAlCu4
1.0
5.193 0.000 0.000
-2.596 4.497 0.000
0.000 0.000 3.966
Nd Al Cu
1 1 4
Cartesian
0.000 0.000 0.000
2.596 1.499 0.000
-1.287 2.255 1.983
0.000 2.998 0.000
1.287 2.255 1.983
0.000 4.484 1.983
```

- energy of formation from the pure elements (eV per atom) = -0.270

VASP calculation (meta-GGA SCAN) on a crystal of Al4CuNi relaxed with PBEsol.

Geometry as POSCAR:
```
Al4CuNi
1.0
4.360 0.000 0.000
-2.180 3.776 0.000
0.000 0.000 5.238
Al Cu Ni
4 1 1
Cartesian
0.000 2.517 1.303
0.000 2.517 3.935
2.180 1.259 1.303
2.180 1.259 3.935
0.000 0.000 2.619
0.000 0.000 0.000
```

- energy of formation from the pure elements (eV per atom) = 0.102

VASP calculation (meta-GGA SCAN) on a crystal of Al2Cu3Ni relaxed with PBEsol.

Geometry as POSCAR:
```
Al2Cu3Ni
1.0
3.794 0.000 0.000
0.000 11.121 0.000
0.000 0.000 3.408
Al Cu Ni
4 6 2
Cartesian
0.000 1.734 0.000
0.000 9.387 0.000
1.897 3.826 0.000
1.897 7.295 0.000
0.000 3.698 1.704
0.000 5.561 0.000
0.000 7.424 1.704
1.897 0.000 0.000
1.897 1.863 1.704
1.897 9.258 1.704
0.000 0.000 1.704
1.897 5.561 1.704
```

- energy of formation from the pure elements (eV per atom) = -0.341

VASP calculation (meta-GGA SCAN) on a crystal of Al2CuNi5 relaxed with PBEsol.

Geometry as POSCAR:
```
Al2CuNi5
1.0
4.969 0.000 0.000
0.000 9.934 0.000
0.000 0.000 3.560
Al Cu Ni
4 2 10
Cartesian
1.167 1.279 0.000
1.318 6.246 0.000
3.651 3.688 0.000
3.803 8.655 0.000
0.000 4.967 1.780
2.485 0.000 1.780
0.000 0.000 1.780
0.078 7.450 1.780
1.190 3.741 0.000
1.295 8.708 0.000
2.406 2.483 1.780
2.485 4.967 1.780
2.563 7.451 1.780
3.674 1.226 0.000
3.779 6.193 0.000
4.891 2.484 1.780
```

- polymorph energy (0 for the lowest one) (kJ/mol of formula units) = 0.0
- energy of formation from the pure elements (eV per atom) = -0.453

VASP calculation (meta-GGA SCAN) on a crystal of AlCu5Ni2 relaxed with PBEsol.

Geometry as POSCAR:
```
AlCu5Ni2
1.0
5.051 0.000 0.000
0.000 10.084 0.000
0.000 0.000 3.526
Al Cu Ni
2 10 4
Cartesian
0.000 0.000 0.000
2.525 5.042 0.000
0.000 5.042 0.000
0.075 2.534 0.000
1.194 6.340 1.763
1.332 1.298 1.763
2.451 7.575 0.000
2.525 0.000 0.000
2.600 2.508 0.000
3.719 8.786 1.763
3.857 3.744 1.763
4.976 7.550 0.000
1.197 8.857 1.763
1.328 3.815 1.763
3.723 6.268 1.763
3.854 1.226 1.763
```

- energy of formation from the pure elements (eV per atom) = -0.176

VASP calculation (meta-GGA SCAN) on a crystal of Al3Cu3Ni2 relaxed with PBEsol.

Geometry as POSCAR:
```
Al3Cu3Ni2
1.0
6.474 0.000 0.000
-3.237 5.606 0.000
0.000 0.000 2.694
Al Cu Ni
3 3 2
Cartesian
-1.944 3.367 0.000
1.293 2.239 0.000
3.888 0.000 0.000
-0.737 1.276 1.347
1.473 0.000 1.347
2.500 4.331 1.347
0.000 3.738 1.347
3.237 1.869 1.347
```

- polymorph energy (0 for the lowest one) (kJ/mol of formula units) = 11.2
- energy of formation from the pure elements (eV per atom) = -0.431

VASP calculation (meta-GGA SCAN) on a crystal of AlCu2Ni5 relaxed with PBEsol.

Geometry as POSCAR:
```
AlCu2Ni5
1.0
4.932 0.000 0.000
0.000 9.878 0.000
0.000 0.000 3.549
Al Cu Ni
2 4 10
Cartesian
0.000 0.000 0.000
2.466 4.939 0.000
1.156 3.674 1.774
1.310 8.613 1.774
3.622 1.265 1.774
3.776 6.204 1.774
0.000 4.939 0.000
0.079 7.408 0.000
1.178 1.226 1.774
1.288 6.165 1.774
2.387 2.469 0.000
2.466 0.000 0.000
2.545 7.409 0.000
3.644 3.713 1.774
3.754 8.652 1.774
4.854 2.470 0.000
```

- polymorph energy (0 for the lowest one) (kJ/mol of formula units) = 36.1
- energy of formation from the pure elements (eV per atom) = -0.160

VASP calculation (meta-GGA SCAN) on a crystal of AlCu2Ni5 relaxed with PBEsol.

Geometry as POSCAR:
```
AlCu2Ni5
1.0
3.545 0.000 0.000
0.000 3.545 0.000
0.000 0.000 13.763
Al Cu Ni
2 4 10
Cartesian
0.000 0.000 0.000
1.773 1.773 6.882
0.000 0.000 3.441
0.000 0.000 10.322
1.773 1.773 3.440
1.773 1.773 10.323
0.000 0.000 6.882
0.000 1.773 1.711
0.000 1.773 5.171
0.000 1.773 8.592
0.000 1.773 12.052
1.773 0.000 1.711
1.773 0.000 5.171
1.773 0.000 8.592
1.773 0.000 12.052
1.773 1.773 0.000
```

- polymorph energy (0 for the lowest one) (kJ/mol of formula units) = 0.0
- energy of formation from the pure elements (eV per atom) = -0.207

VASP calculation (meta-GGA SCAN) on a crystal of AlCuNi2 relaxed with PBEsol.

Geometry as POSCAR:
```
AlCuNi2
1.0
3.557 0.000 0.000
0.000 3.557 0.000
0.000 0.000 7.083
Al Cu Ni
2 2 4
Cartesian
0.000 0.000 0.000
1.778 1.778 3.542
0.000 1.778 1.771
1.778 0.000 5.312
0.000 0.000 3.542
0.000 1.778 5.312
1.778 0.000 1.771
1.778 1.778 0.000
```

- energy of formation from the pure elements (eV per atom) = -0.367

VASP calculation (meta-GGA SCAN) on a crystal of Al2CuNi5 relaxed with PBEsol.

Geometry as POSCAR:
```
Al2CuNi5
1.0
4.085 0.000 0.000
0.000 4.085 0.000
0.000 0.000 10.619
Al Cu Ni
4 2 10
Cartesian
0.000 0.000 2.642
0.000 0.000 7.977
2.043 2.043 2.667
2.043 2.043 7.952
0.000 0.000 5.310
2.043 2.043 0.000
0.000 0.000 0.000
0.000 2.043 1.310
0.000 2.043 3.999
0.000 2.043 6.620
0.000 2.043 9.309
2.043 0.000 1.310
2.043 0.000 3.999
2.043 0.000 6.620
2.043 0.000 9.309
2.043 2.043 5.310
```

- polymorph energy (0 for the lowest one) (kJ/mol of formula units) = 67.4
- energy of formation from the pure elements (eV per atom) = -0.366

VASP calculation (meta-GGA SCAN) on a crystal of AlCu3Ni3 relaxed with PBEsol.

Geometry as POSCAR:
```
AlCu3Ni3
1.0
6.631 0.000 0.000
-3.316 5.743 0.000
0.000 0.000 4.068
Al Cu Ni
2 6 6
Cartesian
0.000 3.829 1.017
3.316 1.914 3.051
-0.504 1.360 1.017
-1.886 5.499 1.017
0.926 1.116 3.051
2.390 4.627 1.017
5.202 0.244 3.051
3.819 4.383 3.051
-0.953 2.723 3.051
-0.481 5.207 3.051
1.882 2.187 1.017
1.434 3.556 3.051
3.796 0.536 1.017
4.269 3.020 1.017
```

- energy of formation from the pure elements (eV per atom) = -0.202

VASP calculation (meta-GGA SCAN) on a crystal of Al2CuNi relaxed with PBEsol.

Geometry as POSCAR:
```
Al2CuNi
1.0
3.017 0.000 0.000
0.000 3.970 0.000
0.000 0.000 8.264
Al Cu Ni
4 2 2
Cartesian
0.000 0.000 0.000
0.000 1.985 1.893
1.508 0.000 6.025
1.508 1.985 4.132
0.000 1.985 6.203
1.508 0.000 2.071
0.000 0.000 4.071
1.508 1.985 8.202
```

- energy of formation from the pure elements (eV per atom) = -0.466

VASP calculation (meta-GGA SCAN) on a crystal of Al2CuNi4 relaxed with PBEsol.

Geometry as POSCAR:
```
Al2CuNi4
1.0
4.383 0.000 0.000
0.000 4.078 0.000
-2.152 0.000 8.779
Al Cu Ni
4 2 8
Cartesian
-0.650 1.020 3.690
0.713 3.059 1.240
1.518 1.020 7.539
2.881 3.059 5.089
1.504 1.020 2.490
0.726 3.059 6.289
-1.392 3.059 7.542
-0.701 1.020 6.252
-0.671 1.020 8.738
0.744 3.059 3.774
1.487 1.020 5.005
2.901 3.059 0.041
2.932 3.059 2.527
3.622 1.020 1.237
```

- energy of formation from the pure elements (eV per atom) = -0.426